[1]
# Ba2LiGe3 | Alexandria via LeMat-Bulk | meta-GGA SCAN | PBEsol geometry
# **ΔE_f**: -0.63 eV/atom
# **VASP energy**: -2280.2 eV for the cell shown
# **Magnetic moment**: 0.0 μB/cell
# **V**: 27.22 Å³ per atom
data_Ba2LiGe3
_cell_length_a 8.8343
_cell_length_b 15.3545
_cell_length_c 19.2672
_cell_angle_alpha 90.00
_cell_angle_beta 90.00
_cell_angle_gamma 90.00
_symmetry_space_group_name_H-M 'F d d d'
_symmetry_Int_Tables_number 70
loop_
_symmetry_equiv_pos_as_xyz
'x,y,z'
'-x,-y,-z'
'-x+1/4,-y+1/4,z'
'x+1/4,y+1/4,-z'
'x,-y+1/4,-z+1/4'
'-x,y+1/4,z+1/4'
'-x+1/4,y,-z+1/4'
'x+1/4,-y,z+1/4'
'x,y+1/2,z+1/2'
'-x,-y+1/2,-z+1/2'
'-x+1/4,-y+3/4,z+1/2'
'x+1/4,y+3/4,-z+1/2'
'x,-y+3/4,-z+3/4'
'-x,y+3/4,z+3/4'
'-x+1/4,y+1/2,-z+3/4'
'x+1/4,-y+1/2,z+3/4'
'x+1/2,y,z+1/2'
'-x+1/2,-y,-z+1/2'
'-x+3/4,-y+1/4,z+1/2'
'x+3/4,y+1/4,-z+1/2'
'x+1/2,-y+1/4,-z+3/4'
'-x+1/2,y+1/4,z+3/4'
'-x+3/4,y,-z+3/4'
'x+3/4,-y,z+3/4'
'x+1/2,y+1/2,z'
'-x+1/2,-y+1/2,-z'
'-x+3/4,-y+3/4,z'
'x+3/4,y+3/4,-z'
'x+1/2,-y+3/4,-z+1/4'
'-x+1/2,y+3/4,z+1/4'
'-x+3/4,y+1/2,-z+1/4'
'x+3/4,-y+1/2,z+1/4'
loop_
_atom_site_label
_atom_site_fract_x
_atom_site_fract_y
_atom_site_fract_z
Ba1 0.1250 0.1250 0.0009
Ba2 0.1250 0.1250 0.5017
Li1 0.1250 0.2927 0.1250
Ge1 0.1196 0.2935 0.8790
Ge2 0.1250 0.2883 0.6250

---

[2]
# ZnRe3N | Alexandria via LeMat-Bulk | meta-GGA SCAN | PBEsol geometry
# **Formation energy from raw total energies**: 0.48 eV per atom
# **VASP energy**: -233.7 eV for the cell shown
# **Magnetic moment**: 0.0 μB/cell
# **V**: 13.00 Å³ per atom
data_ZnRe3N
_cell_length_a 4.0212
_cell_length_b 4.0212
_cell_length_c 4.0212
_cell_angle_alpha 90.00
_cell_angle_beta 90.00
_cell_angle_gamma 90.00
_symmetry_space_group_name_H-M 'P m -3 m'
_symmetry_Int_Tables_number 221
_symmetry_space_group_name_Hall '-P 4 2 3'
loop_
_atom_site_label
_atom_site_fract_x
_atom_site_fract_y
_atom_site_fract_z
Zn1 0.0000 0.0000 0.0000
Re1 0.0000 0.5000 0.5000
N1 0.5000 0.5000 0.5000

---

[3]
# NdDyMg2 | Alexandria via LeMat-Bulk | meta-GGA SCAN | PBEsol geometry
# **ΔE_f**: -0.10 eV/atom
# **VASP energy**: -406.9 eV for the cell shown
# **Magnetic moment**: 0.0 μB/cell
# **V**: 27.07 Å³ per atom
data_NdDyMg2
_cell_length_a 7.5665
_cell_length_b 7.5665
_cell_length_c 7.5665
_cell_angle_alpha 90.00
_cell_angle_beta 90.00
_cell_angle_gamma 90.00
_symmetry_space_group_name_H-M 'F m -3 m'
_symmetry_Int_Tables_number 225
_symmetry_space_group_name_Hall '-F 4 2 3'
loop_
_atom_site_label
_atom_site_fract_x
_atom_site_fract_y
_atom_site_fract_z
Nd1 0.0000 0.0000 0.0000
Dy1 0.0000 0.0000 0.5000
Mg1 0.2500 0.2500 0.2500

---

Look up the V of the second one. 13.00 Å³ per atom